# 1
# RbAs2Pt4

A geometry-optimized RbAs2Pt4 structure (PBE, the Alexandria database).

Summary:
space group = Cmmm, No. 65
formation energy from the elements = -0.3933 eV per atom
calculated total energy = -0.1952 Ha/atom
calculated density = 11.265 Mg/m³
spin magnetization = 0.00 μB per formula unit

a b c (Å): 9.511 9.511 3.987
angles (deg): 90.00 90.00 155.47
Fractional positions:
Rb1 0.000 0.000 0.000
As1 0.386 0.614 0.500
As2 0.614 0.386 0.500
Pt1 0.194 0.806 0.500
Pt2 0.309 0.691 0.000
Pt3 0.691 0.309 0.000
Pt4 0.806 0.194 0.500

***

# 2
# RbAsPt3

A geometry-optimized RbAsPt3 structure (PBE, the Alexandria database).

Summary:
space group = Pm-3m, No. 221
formation energy from the elements = 0.1975 eV per atom
calculated total energy = -0.1672 Ha/atom
calculated density = 10.819 Mg/m³
polymorph energy (0 for the lowest one) = 0.000 eV per atom
spin magnetization = 0.00 μB per formula unit

a b c (Å): 4.855 4.855 4.855
angles (deg): 90.00 90.00 90.00
Fractional positions:
Rb1 0.000 0.000 0.000
As1 0.500 0.500 0.500
Pt1 0.000 0.500 0.500
Pt2 0.500 0.000 0.500
Pt3 0.500 0.500 0.000

***

What is the formula in the second record? RbAsPt3

***

spin magnetization of number 2 (RbAsPt3)? 0.00 μB per formula unit

***

calculated density of number 2 (RbAsPt3)? 10.819 Mg/m³

***

What did the second record say?
# RbAsPt3

A geometry-optimized RbAsPt3 structure (PBE, the Alexandria database).

Summary:
space group = Pm-3m, No. 221
formation energy from the elements = 0.1975 eV per atom
calculated total energy = -0.1672 Ha/atom
calculated density = 10.819 Mg/m³
polymorph energy (0 for the lowest one) = 0.000 eV per atom
spin magnetization = 0.00 μB per formula unit

a b c (Å): 4.855 4.855 4.855
angles (deg): 90.00 90.00 90.00
Fractional positions:
Rb1 0.000 0.000 0.000
As1 0.500 0.500 0.500
Pt1 0.000 0.500 0.500
Pt2 0.500 0.000 0.500
Pt3 0.500 0.500 0.000